# 1
## PrInFe (PBE)

Data for PrInFe after structural relaxation.

Values from the calculation:
Final energy, eV per cell: -13.41

abc: 4.8651 4.8651 4.8651
angles: 60.00 60.00 60.00
Positions (direct):
Pr  0.0000  0.0000  0.0000
In  0.2500  0.2500  0.2500
Fe  0.7500  0.7500  0.7500



# 2
## Pr6InFe13 (PBE)

Data for Pr6InFe13 after structural relaxation.

Values from the calculation:
Final energy, eV per cell: -280.27

abc: 13.1279 13.1279 13.1279
angles: 144.40 144.40 51.23
Positions (direct):
Pr  0.0212  0.5212  0.1734
Pr  0.1049  0.1049  0.0000
Pr  0.1523  0.9788  0.5000
Pr  0.3477  0.8477  0.8266
Pr  0.3951  0.3951  0.0000
Pr  0.4788  0.6523  0.5000
Pr  0.5212  0.3477  0.5000
Pr  0.6049  0.6049  0.0000
Pr  0.6523  0.1523  0.1734
Pr  0.8477  0.0212  0.5000
Pr  0.8951  0.8951  0.0000
Pr  0.9788  0.4788  0.8266
In  0.2500  0.2500  0.0000
In  0.7500  0.7500  0.0000
Fe  0.0000  0.5000  0.5000
Fe  0.0202  0.2950  0.5000
Fe  0.0664  0.2099  0.2763
Fe  0.1212  0.6212  0.8580
Fe  0.2050  0.4798  0.5000
Fe  0.2099  0.9336  0.1435
Fe  0.2368  0.7368  0.8580
Fe  0.2632  0.1212  0.5000
Fe  0.2901  0.4336  0.7237
Fe  0.2950  0.7950  0.2748
Fe  0.3788  0.2368  0.5000
Fe  0.4336  0.7099  0.1435
Fe  0.4798  0.9798  0.2748
Fe  0.5000  0.0000  0.5000
Fe  0.5202  0.0202  0.7252
Fe  0.5664  0.2901  0.8565
Fe  0.6212  0.7632  0.5000
Fe  0.7050  0.2050  0.7252
Fe  0.7099  0.5664  0.2763
Fe  0.7368  0.8788  0.5000
Fe  0.7632  0.2632  0.1420
Fe  0.7901  0.0664  0.8565
Fe  0.7950  0.5202  0.5000
Fe  0.8788  0.3788  0.1420
Fe  0.9336  0.7901  0.7237
Fe  0.9798  0.7050  0.5000



# 3
## Pr3InFeS7 (PBE)

Data for Pr3InFeS7 after structural relaxation.

Values from the calculation:
Final energy, eV per cell: -142.71

abc: 10.0241 10.0241 6.3973
angles: 90.00 90.00 120.00
Positions (direct):
Pr  0.1538  0.3746  0.0000
Pr  0.2208  0.8462  0.0000
Pr  0.3746  0.2208  0.5000
Pr  0.6254  0.7792  0.0000
Pr  0.7792  0.1538  0.5000
Pr  0.8462  0.6254  0.5000
In  0.3333  0.6667  0.4298
In  0.6667  0.3333  0.9298
Fe  0.0000  0.0000  0.3182
Fe  0.0000  0.0000  0.8182
S  0.0789  0.5651  0.2594
S  0.0968  0.2275  0.5886
S  0.1307  0.9032  0.5886
S  0.2275  0.1307  0.0886
S  0.3333  0.6667  0.8077
S  0.4349  0.5138  0.2594
S  0.4862  0.9211  0.2594
S  0.5138  0.0789  0.7594
S  0.5651  0.4862  0.7594
S  0.6667  0.3333  0.3077
S  0.7725  0.8693  0.5886
S  0.8693  0.0968  0.0886
S  0.9032  0.7725  0.0886
S  0.9211  0.4349  0.7594



# 4
## PrInFeSe3 (PBE)

Data for PrInFeSe3 after structural relaxation.

Values from the calculation:
Final energy, eV per cell: -62.86

abc: 7.6188 7.6188 11.1940
angles: 90.00 90.00 148.14
Positions (direct):
Pr  0.0000  0.0000  0.0000
Pr  0.0000  0.0000  0.5000
In  0.2438  0.7562  0.7500
In  0.7562  0.2438  0.2500
Fe  0.4729  0.5271  0.2500
Fe  0.5271  0.4729  0.7500
Se  0.0694  0.9306  0.2500
Se  0.3694  0.6306  0.0811
Se  0.3694  0.6306  0.4189
Se  0.6306  0.3694  0.5811
Se  0.6306  0.3694  0.9189
Se  0.9306  0.0694  0.7500



# 5
## PrSm2In3Fe3 (PBE)

Data for PrSm2In3Fe3 after structural relaxation.

Values from the calculation:
Final energy, eV per cell: -47.59

abc: 4.0261 7.5381 7.5381
angles: 119.55 90.00 90.00
Positions (direct):
Pr  0.0000  0.0000  0.0000
Sm  0.0000  0.4179  0.8298
Sm  0.0000  0.8298  0.4179
In  0.5000  0.1651  0.4184
In  0.5000  0.4184  0.1651
In  0.5000  0.6649  0.6649
Fe  0.0000  0.4170  0.4170
Fe  0.5000  0.0852  0.7488
Fe  0.5000  0.7488  0.0852



# 6
## Tb2PrIn3Fe3 (PBE)

Data for Tb2PrIn3Fe3 after structural relaxation.

Values from the calculation:
Final energy, eV per cell: -47.78

abc: 3.9520 7.5157 7.5157
angles: 119.60 90.00 90.00
Positions (direct):
Tb  0.0000  0.2040  0.7960
Tb  0.0000  0.7960  0.2040
Pr  0.0000  0.3776  0.3776
In  0.5000  0.0424  0.0424
In  0.5000  0.5390  0.7974
In  0.5000  0.7974  0.5390
Fe  0.0000  0.7938  0.7938
Fe  0.5000  0.1258  0.4643
Fe  0.5000  0.4643  0.1258



# 7
## PrInFeTe3 (PBE)

Data for PrInFeTe3 after structural relaxation.

Values from the calculation:
Final energy, eV per cell: -57.35

abc: 8.0095 8.0095 11.7193
angles: 90.00 90.00 148.42
Positions (direct):
Pr  0.0000  0.0000  0.0000
Pr  0.0000  0.0000  0.5000
In  0.2450  0.7550  0.7500
In  0.7550  0.2450  0.2500
Fe  0.4724  0.5276  0.2500
Fe  0.5276  0.4724  0.7500
Te  0.0765  0.9235  0.2500
Te  0.3621  0.6379  0.0786
Te  0.3621  0.6379  0.4214
Te  0.6379  0.3621  0.5786
Te  0.6379  0.3621  0.9214
Te  0.9235  0.0765  0.7500



# 8
## PrY2In3Fe3 (PBE)

Data for PrY2In3Fe3 after structural relaxation.

Values from the calculation:
Final energy, eV per cell: -51.48

abc: 3.9714 7.4918 7.4918
angles: 119.33 90.00 90.00
Positions (direct):
Pr  0.0000  0.0000  0.0000
Y  0.0000  0.4184  0.8269
Y  0.0000  0.8269  0.4184
In  0.5000  0.1624  0.4213
In  0.5000  0.4213  0.1624
In  0.5000  0.6651  0.6651
Fe  0.0000  0.4169  0.4169
Fe  0.5000  0.0870  0.7501
Fe  0.5000  0.7501  0.0870



# 9
## YInFePt (PBE)

Data for YInFePt after structural relaxation.

Values from the calculation:
E above lowest polymorph, eV per atom: 0.000

abc: 4.6854 4.6854 4.6854
angles: 60.00 60.00 60.00
Positions (direct):
Y  0.0000  0.0000  0.0000
In  0.5000  0.5000  0.5000
Fe  0.7500  0.7500  0.7500
Pt  0.2500  0.2500  0.2500



# 10
## YInFePt (PBE)

Data for YInFePt after structural relaxation.

Values from the calculation:
E above lowest polymorph, eV per atom: 0.160

abc: 4.7478 4.7478 4.7478
angles: 60.00 60.00 60.00
Positions (direct):
Y  0.0000  0.0000  0.0000
In  0.2500  0.2500  0.2500
Fe  0.5000  0.5000  0.5000
Pt  0.7500  0.7500  0.7500



# 11
## ZrInFePt (PBE)

Data for ZrInFePt after structural relaxation.

Values from the calculation:
E above lowest polymorph, eV per atom: 0.000

abc: 4.6077 4.6077 4.6077
angles: 60.00 60.00 60.00
Positions (direct):
Zr  0.0000  0.0000  0.0000
In  0.5000  0.5000  0.5000
Fe  0.7500  0.7500  0.7500
Pt  0.2500  0.2500  0.2500



# 12
## ZrInFePt (PBE)

Data for ZrInFePt after structural relaxation.

Values from the calculation:
E above lowest polymorph, eV per atom: 0.250

abc: 4.6094 4.6094 4.6094
angles: 60.00 60.00 60.00
Positions (direct):
Zr  0.0000  0.0000  0.0000
In  0.2500  0.2500  0.2500
Fe  0.5000  0.5000  0.5000
Pt  0.7500  0.7500  0.7500